# CsRb2WF8 GGA+U relaxed
# crystal system = monoclinic
# DFT total energy = -4.82 eV/atom
# V = 275.6 Å³ per cell
# magnetization = 0.92 μB per formula unit
data_CsRb2WF8
_symmetry_space_group_name_H-M 'P 1 2/m 1'
_symmetry_Int_Tables_number 10
_symmetry_space_group_name_Hall '-P 2y'
_cell_length_a 4.798
_cell_length_b 9.034
_cell_length_c 6.448
_cell_angle_alpha 90.00
_cell_angle_beta 99.68
_cell_angle_gamma 90.00
loop_
_atom_site_label
_atom_site_fract_x
_atom_site_fract_y
_atom_site_fract_z
Cs1 0.000 0.000 0.000
Rb1 0.500 0.229 0.500
W1 0.000 0.500 0.000
F1 0.094 0.343 0.816
F2 0.365 0.500 0.183
F3 0.426 0.000 0.730